Entry 1:
## K3Pu3CdS8 (PBE-GGA)

Data for crystalline K3Pu3CdS8 at its relaxed geometry.

## Properties
- Uncorrected energy: -6.662 eV/atom
- Space group: C2/m, No. 12
- M_tot: 0.29 μB per atom

POSCAR file:
```
K3Pu3CdS8
1.0
-5.719 -3.155 -4.748
7.670 0.323 -2.502
-1.963 -5.850 6.197
K Pu Cd S
3 3 1 8
Direct
0.000 0.000 0.000
0.000 0.500 0.000
0.500 0.500 0.000
0.500 0.000 0.500
0.500 0.500 0.500
0.000 0.500 0.500
0.000 0.000 0.500
0.266 0.534 0.299
0.734 0.466 0.701
0.765 0.531 0.304
0.235 0.469 0.696
0.760 0.044 0.303
0.240 0.956 0.697
0.273 0.039 0.304
0.727 0.961 0.696
```

=====

Entry 2:
## Tl3Zn5O12 (PBE-GGA)

Data for crystalline Tl3Zn5O12 at its relaxed geometry.

## Properties
- Uncorrected energy: -4.337 eV/atom
- Space group: Ia-3d, No. 230
- M_tot: 0.25 μB per atom

POSCAR file:
```
Tl3Zn5O12
1.0
10.991 0.000 0.000
-3.664 10.362 0.000
-3.664 -5.181 8.974
Tl Zn O
12 20 48
Direct
0.750 0.375 0.125
0.875 0.750 0.125
0.375 0.750 0.625
0.250 0.125 0.375
0.875 0.125 0.250
0.375 0.625 0.250
0.625 0.375 0.750
0.125 0.875 0.750
0.750 0.875 0.625
0.625 0.250 0.375
0.125 0.250 0.875
0.250 0.625 0.875
0.125 0.375 0.250
0.000 0.500 0.000
0.000 0.000 0.000
0.375 0.250 0.125
0.500 0.000 0.500
0.500 0.500 0.000
0.125 0.750 0.375
0.750 0.125 0.875
0.750 0.625 0.375
0.375 0.125 0.750
0.625 0.875 0.250
0.500 0.500 0.500
0.500 0.000 0.000
0.000 0.000 0.500
0.250 0.375 0.625
0.250 0.875 0.125
0.000 0.500 0.500
0.875 0.250 0.625
0.625 0.750 0.875
0.875 0.625 0.750
0.703 0.131 0.030
0.327 0.530 0.399
0.970 0.369 0.297
0.530 0.203 0.131
0.572 0.703 0.673
0.970 0.601 0.173
0.327 0.797 0.428
0.101 0.928 0.131
0.601 0.970 0.673
0.703 0.572 0.173
0.797 0.470 0.369
0.827 0.899 0.030
0.131 0.703 0.530
0.369 0.399 0.072
0.072 0.899 0.369
0.428 0.131 0.601
0.072 0.173 0.203
0.470 0.673 0.101
0.827 0.928 0.297
0.131 0.428 0.101
0.369 0.970 0.797
0.601 0.631 0.428
0.899 0.827 0.530
0.797 0.327 0.928
0.399 0.369 0.572
0.101 0.173 0.470
0.203 0.673 0.072
0.173 0.072 0.703
0.631 0.030 0.203
0.869 0.572 0.899
0.530 0.327 0.899
0.572 0.869 0.399
0.928 0.827 0.797
0.928 0.101 0.631
0.869 0.297 0.470
0.173 0.101 0.970
0.631 0.601 0.928
0.399 0.030 0.327
0.297 0.428 0.827
0.203 0.530 0.631
0.899 0.072 0.869
0.673 0.203 0.572
0.470 0.797 0.869
0.030 0.399 0.827
0.428 0.297 0.327
0.030 0.631 0.703
0.673 0.470 0.601
0.297 0.869 0.970
```

=====

Entry 3:
## Re2IrW (PBE-GGA)

Data for crystalline Re2IrW at its relaxed geometry.

## Properties
- Uncorrected energy: -11.594 eV/atom
- Space group: R-3m, No. 166
- M_tot: 0.00 μB per atom
- Relative energy among the computed polymorphs: 4.16 kcal/mol of atoms

POSCAR file:
```
Re2IrW
1.0
9.367 0.013 0.008
8.956 2.742 0.008
8.956 1.347 2.389
Ir Re W
1 2 1
Direct
0.750 0.750 0.750
0.002 0.002 0.002
0.498 0.498 0.498
0.250 0.250 0.250
```

=====

Entry 4:
## FeTcCl2 (PBE-GGA)

Data for crystalline FeTcCl2 at its relaxed geometry.

## Properties
- Uncorrected energy: -5.439 eV/atom
- Space group: Imm2, No. 44
- M_tot: 0.73 μB per atom
- Relative energy among the computed polymorphs: 6.29 kcal/mol of atoms

POSCAR file:
```
FeTcCl2
1.0
-4.329 3.487 -6.770
-7.352 2.886 -3.788
6.216 -1.221 6.050
Cl Tc Fe
2 1 1
Direct
0.016 0.016 0.000
0.735 0.235 0.500
0.317 0.817 0.500
0.433 0.433 0.000
```

=====

Repeat the third record exactly.
## Re2IrW (PBE-GGA)

Data for crystalline Re2IrW at its relaxed geometry.

## Properties
- Uncorrected energy: -11.594 eV/atom
- Space group: R-3m, No. 166
- M_tot: 0.00 μB per atom
- Relative energy among the computed polymorphs: 4.16 kcal/mol of atoms

POSCAR file:
```
Re2IrW
1.0
9.367 0.013 0.008
8.956 2.742 0.008
8.956 1.347 2.389
Ir Re W
1 2 1
Direct
0.750 0.750 0.750
0.002 0.002 0.002
0.498 0.498 0.498
0.250 0.250 0.250
```

=====

Copy entry 4 word for word.
## FeTcCl2 (PBE-GGA)

Data for crystalline FeTcCl2 at its relaxed geometry.

## Properties
- Uncorrected energy: -5.439 eV/atom
- Space group: Imm2, No. 44
- M_tot: 0.73 μB per atom
- Relative energy among the computed polymorphs: 6.29 kcal/mol of atoms

POSCAR file:
```
FeTcCl2
1.0
-4.329 3.487 -6.770
-7.352 2.886 -3.788
6.216 -1.221 6.050
Cl Tc Fe
2 1 1
Direct
0.016 0.016 0.000
0.735 0.235 0.500
0.317 0.817 0.500
0.433 0.433 0.000
```

=====

> The highest M_tot belongs to which entry?

FeTcCl2

=====

> The highest uncorrected energy belongs to which entry?

Tl3Zn5O12